VASP calculation (SCAN) on a crystal of Li2Tl2Ag relaxed with PBEsol.

```
Li2Tl2Ag
1.0
3.458 0.000 0.000
0.000 7.550 0.000
0.000 0.000 7.550
Tl Ag Li
4 2 4
direct
0.000 0.353 0.853 Tl
0.000 0.853 0.647 Tl
0.000 0.647 0.147 Tl
0.000 0.147 0.353 Tl
0.000 0.000 0.000 Ag
0.000 0.500 0.500 Ag
0.500 0.155 0.655 Li
0.500 0.655 0.845 Li
0.500 0.845 0.345 Li
0.500 0.345 0.155 Li
```

Summary:
Formation energy, meV/atom: -160.9
SG: P4/mbm, No. 127
Calculated volume, Å³ per cell: 197.08
Total magnetization, μB per cell: 0.0